Below is crystalline V2AgP2 at its relaxed geometry, with properties calculated at the PBE-GGA level.

abc: 6.8013 6.8013 3.0105
angles: 90.00 90.00 90.00
Closest atoms and distances in Å follow each position.
Space group P4/mbm (No. 127)
Asymmetric unit:
V1 0.1409 0.3591 0.0000 [4 per cell]  6 P 2.45-2.56, 1 V 2.71
Ag1 0.0000 0.0000 0.5000 [2 per cell]  4 P 2.61
P1 0.1440 0.6440 0.5000 [4 per cell]  6 V 2.45-2.56, 2 Ag 2.61

## Properties
The calculation puts the calculated volume at 70 Å³/f.u. The value obtained for the formation energy is -0.353 eV/atom. As for the total magnetization: 0.001 μB/f.u. As for the total energy: -0.49501 Ry/atom.